Ba3Ho3TmSe8: optimized geometry, PBE.

It has space group R-3m (No. 166, hexagonal axes), with a = 8.3819 Å, b = 8.3819 Å, c = 22.5998 Å, α = 90.00°, β = 90.00° and γ = 120.00°. The asymmetric unit holds Ba at (0.0000, 0.5000, 0.0000), Ho at (0.0000, 0.5000, 0.5000), Tm at (0.0000, 0.0000, 0.5000), Se at (0.0000, 0.0000, 0.2371) and Se at (0.0001, 0.5000, 0.2362).

The density of states at the Fermi level is 0.225 states/eV per atom. The formation energy from raw total energies comes out at -1.91 eV/atom. The calculated total energy is -0.1974 hartree per atom.